# 1
Material: TaCu2Cl
Method: DFT, GGA-PBE
State: relaxed

The calculation puts the energy above the most stable polymorph in this dataset at 425 meV/atom. The energy relative to the elements, uncorrected comes out at 0.45 eV per atom. For the total magnetization, the calculation gives 0.000 μB/atom. Its density of states at the Fermi level is 0.743 states/eV per atom. As for the total energy: -5.0279 eV/atom.

The structure belongs to space group Pmmm (No. 47); the cell edges are 2.838, 4.314 and 4.959 Å and the angles 90.00°, 90.00° and 90.00°. Symmetry generates all atoms from Ta at (0.000, 0.000, 0.000), Cu at (0.000, 0.500, 0.500), Cu at (0.500, 0.000, 0.500) and Cl at (0.500, 0.500, 0.000).

# 2
Material: Nb6Al2N
Method: DFT, GGA-PBE
State: relaxed

The energy relative to the elements, uncorrected comes out at -0.30 eV per atom. For the total magnetization, the calculation gives 0.000 μB/atom. Its density of states at the Fermi level is 0.609 states/eV per atom. As for the total energy: -8.7683 eV/atom.

The structure belongs to space group P2_1/c (No. 14); the cell edges are 5.469, 6.361 and 10.074 Å and the angles 90.00°, 121.70° and 90.00°. Symmetry generates all atoms from Nb at (0.116, 0.181, 0.464), Nb at (0.306, 0.692, 0.465), Nb at (0.361, 0.007, 0.252), Al at (0.170, 0.106, 0.753) and N at (0.500, 0.000, 0.500).

# 3
Material: Pm12TlCo6
Method: DFT, GGA-PBE
State: relaxed

For the total magnetization, the calculation gives 0.000 μB/atom. As for the formation energy: -14.7 kJ/mol of atoms. Its density of states at the Fermi level is 0.726 states/eV per atom. As for the total energy: -5.5217 eV/atom.

The structure belongs to space group Im-3 (No. 204); the cell edges are 9.940, 9.940 and 9.940 Å and the angles 90.00°, 90.00° and 90.00°. Symmetry generates all atoms from Pm at (0.000, 0.305, 0.193), Tl at (0.000, 0.000, 0.000) and Co at (0.000, 0.111, 0.500).

# 4
Material: CsK5Hg3
Method: DFT, GGA-PBE
State: relaxed

For the total magnetization, the calculation gives 0.000 μB/atom. As for the formation energy: -11.3 kJ/mol of atoms. Its density of states at the Fermi level is 0.621 states/eV per atom. As for the total energy: -0.9227 eV/atom.

The structure belongs to space group C2/m (No. 12); the cell edges are 13.395, 12.421 and 12.727 Å and the angles 90.00°, 108.09° and 90.00°. Symmetry generates all atoms from Cs at (0.229, 0.000, 0.244), K at (0.000, 0.228, 0.500), K at (0.056, 0.235, 0.856), K at (0.186, 0.500, 0.087), K at (0.243, 0.000, 0.571), Hg at (0.000, 0.000, 0.000), Hg at (0.000, 0.500, 0.500), Hg at (0.003, 0.500, 0.256) and Hg at (0.028, 0.000, 0.692).

- What is the formula in the second record?
  Nb6Al2N

- Which value of total magnetization does entry 4 give?
  0.000 μB/atom